No. 1
Density functional theory data (GGA-PBE) for an optimized crystal structure of Li6ZnGa2.

a b c (Å): 5.195 5.195 5.195
angles (deg): 96.36 96.36 96.36
Element x y z (fractional)
1 Li 0.000 0.331 0.669
2 Li 0.000 0.669 0.331
3 Li 0.331 0.000 0.669
4 Li 0.331 0.669 0.000
5 Li 0.669 0.000 0.331
6 Li 0.669 0.331 0.000
7 Zn 0.500 0.500 0.500
8 Ga 0.170 0.170 0.170
9 Ga 0.830 0.830 0.830

Summary:
ΔE to the lowest computed polymorph (meV per atom): 0.0
Total magnetic moment (μB/cell): 0.00
V (Å³/cell): 137.4
Energy of formation from the pure elements (meV per atom): -230



No. 2
Density functional theory data (GGA-PBE) for an optimized crystal structure of LiZn4Ga7.

a b c (Å): 6.234 6.234 9.255
angles (deg): 120.95 120.95 48.51
Element x y z (fractional)
1 Li 0.000 0.000 0.000
2 Zn 0.210 0.210 0.768
3 Zn 0.406 0.406 0.680
4 Zn 0.594 0.594 0.320
5 Zn 0.790 0.790 0.232
6 Ga 0.073 0.073 0.420
7 Ga 0.272 0.272 0.350
8 Ga 0.310 0.310 0.097
9 Ga 0.500 0.500 0.000
10 Ga 0.690 0.690 0.903
11 Ga 0.728 0.728 0.650
12 Ga 0.927 0.927 0.580

Summary:
Total magnetic moment (μB/cell): 0.00
V (Å³/cell): 222.4
Energy of formation from the pure elements (meV per atom): 48



No. 3
Density functional theory data (GGA-PBE) for an optimized crystal structure of Li8Zn5Ga.

a b c (Å): 6.730 6.730 6.730
angles (deg): 110.89 110.89 106.67
Element x y z (fractional)
1 Li 0.105 0.685 0.789
2 Li 0.168 0.269 0.765
3 Li 0.315 0.104 0.420
4 Li 0.504 0.402 0.235
5 Li 0.598 0.832 0.102
6 Li 0.684 0.895 0.580
7 Li 0.731 0.496 0.898
8 Li 0.896 0.316 0.211
9 Zn 0.224 0.639 0.198
10 Zn 0.361 0.559 0.585
11 Zn 0.441 0.026 0.802
12 Zn 0.750 0.250 0.500
13 Zn 0.974 0.776 0.415
14 Ga 0.000 0.000 0.000

Summary:
Total magnetic moment (μB/cell): 0.00
V (Å³/cell): 234.3
Energy of formation from the pure elements (meV per atom): -53



No. 4
Density functional theory data (GGA-PBE) for an optimized crystal structure of Li5Zn12Ga2.

a b c (Å): 7.419 7.419 6.624
angles (deg): 90.32 90.32 53.36
Element x y z (fractional)
1 Li 0.000 0.000 0.000
2 Li 0.245 0.245 0.056
3 Li 0.339 0.339 0.540
4 Li 0.661 0.661 0.460
5 Li 0.755 0.755 0.944
6 Zn 0.019 0.624 0.265
7 Zn 0.151 0.151 0.390
8 Zn 0.175 0.588 0.871
9 Zn 0.376 0.981 0.735
10 Zn 0.412 0.825 0.129
11 Zn 0.451 0.451 0.197
12 Zn 0.549 0.549 0.803
13 Zn 0.588 0.175 0.871
14 Zn 0.624 0.019 0.265
15 Zn 0.825 0.412 0.129
16 Zn 0.849 0.849 0.610
17 Zn 0.981 0.376 0.735
18 Ga 0.234 0.766 0.500
19 Ga 0.766 0.234 0.500

Summary:
Total magnetic moment (μB/cell): 0.00
V (Å³/cell): 292.6
Energy of formation from the pure elements (meV per atom): -104



No. 5
Density functional theory data (GGA-PBE) for an optimized crystal structure of Li2Zn16Ga.

a b c (Å): 6.781 6.781 6.781
angles (deg): 82.97 82.97 82.97
Element x y z (fractional)
1 Li 0.000 0.000 0.000
2 Li 0.327 0.327 0.327
3 Zn 0.016 0.016 0.506
4 Zn 0.016 0.506 0.016
5 Zn 0.164 0.671 0.671
6 Zn 0.320 0.320 0.833
7 Zn 0.320 0.833 0.320
8 Zn 0.354 0.668 0.983
9 Zn 0.354 0.983 0.668
10 Zn 0.506 0.016 0.016
11 Zn 0.668 0.354 0.983
12 Zn 0.668 0.983 0.354
13 Zn 0.671 0.164 0.671
14 Zn 0.671 0.671 0.164
15 Zn 0.767 0.767 0.767
16 Zn 0.833 0.320 0.320
17 Zn 0.983 0.354 0.668
18 Zn 0.983 0.668 0.354
19 Ga 0.563 0.563 0.563

Summary:
Total magnetic moment (μB/cell): 0.00
V (Å³/cell): 305.3
Energy of formation from the pure elements (meV per atom): -42



No. 6
Density functional theory data (GGA-PBE) for an optimized crystal structure of Li5Zn3Ga3.

a b c (Å): 9.051 9.051 2.709
angles (deg): 90.00 90.00 120.00
Element x y z (fractional)
1 Li 0.000 0.662 0.000
2 Li 0.333 0.667 0.000
3 Li 0.338 0.338 0.000
4 Li 0.662 0.000 0.000
5 Li 0.667 0.333 0.000
6 Zn 0.000 0.163 0.000
7 Zn 0.163 0.000 0.000
8 Zn 0.837 0.837 0.000
9 Ga 0.000 0.409 0.500
10 Ga 0.409 0.000 0.500
11 Ga 0.591 0.591 0.500

Summary:
Total magnetic moment (μB/cell): 0.00
V (Å³/cell): 192.2
Energy of formation from the pure elements (meV per atom): -103



No. 7
Density functional theory data (GGA-PBE) for an optimized crystal structure of Li5Zn5Ga2.

a b c (Å): 5.403 5.403 9.163
angles (deg): 110.34 110.34 46.29
Element x y z (fractional)
1 Li 0.000 0.000 0.000
2 Li 0.088 0.088 0.749
3 Li 0.169 0.169 0.496
4 Li 0.831 0.831 0.504
5 Li 0.912 0.912 0.251
6 Zn 0.246 0.246 0.255
7 Zn 0.331 0.331 0.013
8 Zn 0.500 0.500 0.500
9 Zn 0.669 0.669 0.987
10 Zn 0.754 0.754 0.745
11 Ga 0.414 0.414 0.754
12 Ga 0.586 0.586 0.246

Summary:
Total magnetic moment (μB/cell): 0.00
V (Å³/cell): 179.0
Energy of formation from the pure elements (meV per atom): -217



No. 8
Density functional theory data (GGA-PBE) for an optimized crystal structure of Li2Zn8Ga.

a b c (Å): 4.200 4.200 9.655
angles (deg): 90.00 90.00 90.00
Element x y z (fractional)
1 Li 0.000 0.000 0.175
2 Li 0.000 0.000 0.825
3 Zn 0.000 0.500 0.000
4 Zn 0.000 0.500 0.345
5 Zn 0.000 0.500 0.655
6 Zn 0.500 0.000 0.000
7 Zn 0.500 0.000 0.345
8 Zn 0.500 0.000 0.655
9 Zn 0.500 0.500 0.173
10 Zn 0.500 0.500 0.827
11 Ga 0.000 0.000 0.500

Summary:
ΔE to the lowest computed polymorph (meV per atom): 0.0
Total magnetic moment (μB/cell): 0.00
V (Å³/cell): 170.3
Energy of formation from the pure elements (meV per atom): -81



No. 9
Density functional theory data (GGA-PBE) for an optimized crystal structure of Li2ZnGa2.

a b c (Å): 5.379 5.379 7.014
angles (deg): 108.10 108.10 55.50
Element x y z (fractional)
1 Li 0.044 0.343 0.146
2 Li 0.343 0.044 0.646
3 Li 0.657 0.956 0.354
4 Li 0.956 0.657 0.854
5 Zn 0.197 0.803 0.250
6 Zn 0.803 0.197 0.750
7 Ga 0.227 0.572 0.547
8 Ga 0.428 0.773 0.953
9 Ga 0.572 0.227 0.047
10 Ga 0.773 0.428 0.453

Summary:
ΔE to the lowest computed polymorph (meV per atom): 0.0
Total magnetic moment (μB/cell): 0.00
V (Å³/cell): 156.6
Energy of formation from the pure elements (meV per atom): -224



No. 10
Density functional theory data (GGA-PBE) for an optimized crystal structure of Li2Zn3Ga2.

a b c (Å): 4.818 4.818 6.223
angles (deg): 99.60 99.60 49.58
Element x y z (fractional)
1 Li 0.069 0.069 0.223
2 Li 0.931 0.931 0.777
3 Zn 0.213 0.213 0.637
4 Zn 0.500 0.500 0.500
5 Zn 0.787 0.787 0.363
6 Ga 0.357 0.357 0.065
7 Ga 0.643 0.643 0.935

Summary:
ΔE to the lowest computed polymorph (meV per atom): 0.0
Total magnetic moment (μB/cell): 0.00
V (Å³/cell): 108.1
Energy of formation from the pure elements (meV per atom): -158



No. 11
Density functional theory data (GGA-PBE) for an optimized crystal structure of Li5ZnGa3.

a b c (Å): 6.217 6.217 9.320
angles (deg): 98.61 98.61 73.75
Element x y z (fractional)
1 Li 0.070 0.070 0.635
2 Li 0.179 0.821 0.000
3 Li 0.190 0.544 0.235
4 Li 0.230 0.230 0.958
5 Li 0.456 0.810 0.765
6 Li 0.544 0.190 0.235
7 Li 0.770 0.770 0.042
8 Li 0.810 0.456 0.765
9 Li 0.821 0.179 0.000
10 Li 0.930 0.930 0.365
11 Zn 0.369 0.369 0.736
12 Zn 0.631 0.631 0.264
13 Ga 0.117 0.117 0.213
14 Ga 0.243 0.243 0.469
15 Ga 0.500 0.500 0.000
16 Ga 0.500 0.500 0.500
17 Ga 0.757 0.757 0.531
18 Ga 0.883 0.883 0.787

Summary:
Total magnetic moment (μB/cell): 0.00
V (Å³/cell): 339.7
Energy of formation from the pure elements (meV per atom): -21



No. 12
Density functional theory data (GGA-PBE) for an optimized crystal structure of Li2ZnGa2.

a b c (Å): 5.250 5.250 8.696
angles (deg): 106.22 106.22 48.54
Element x y z (fractional)
1 Li 0.063 0.063 0.366
2 Li 0.167 0.167 0.074
3 Li 0.833 0.833 0.926
4 Li 0.937 0.937 0.634
5 Zn 0.264 0.264 0.687
6 Zn 0.736 0.736 0.313
7 Ga 0.375 0.375 0.386
8 Ga 0.472 0.472 0.133
9 Ga 0.528 0.528 0.867
10 Ga 0.625 0.625 0.614

Summary:
ΔE to the lowest computed polymorph (meV per atom): 14.8
Total magnetic moment (μB/cell): 0.00
V (Å³/cell): 171.0
Energy of formation from the pure elements (meV per atom): -209